(1)
VASP calculation (PBEsol) on a relaxed Re7Tc crystal.

Structure (POSCAR):
```
Re7Tc
1.0
5.484 0.000 0.000
2.742 4.749 0.000
2.742 1.583 4.478
Re Tc
7 1
Direct
0.500 0.000 0.000 Re
0.500 0.500 0.000 Re
0.000 0.500 0.000 Re
0.500 0.000 0.500 Re
0.000 0.000 0.500 Re
0.000 0.500 0.500 Re
0.500 0.500 0.500 Re
0.000 0.000 0.000 Tc
```

Fermi-level density of states   6.491 states/eV/cell
Energy of formation from the pure elements   0.061 eV/atom

(2)
VASP calculation (PBEsol) on a relaxed Zr2RuN2 crystal.

Structure (POSCAR):
```
Zr2RuN2
1.0
3.720 0.000 0.000
0.000 3.720 0.000
-1.860 -1.860 5.384
Ru Zr N
1 2 2
Direct
0.000 0.000 0.000 Ru
0.341 0.341 0.681 Zr
0.659 0.659 0.319 Zr
0.250 0.750 0.500 N
0.750 0.250 0.500 N
```

Fermi-level density of states   5.098 states/eV/cell
Energy relative to the elements, uncorrected   -13.12 kcal/mol of atoms

(3)
VASP calculation (PBEsol) on a relaxed Mn3CrTe crystal.

Structure (POSCAR):
```
Mn3CrTe
1.0
4.366 0.000 0.000
0.000 4.366 0.000
0.000 0.000 4.366
Cr Te Mn
1 1 3
Direct
0.000 0.000 0.000 Cr
0.500 0.500 0.500 Te
0.000 0.500 0.000 Mn
0.000 0.000 0.500 Mn
0.500 0.000 0.000 Mn
```

Fermi-level density of states   3.144 states/eV/cell
Energy relative to the elements, uncorrected   21.70 kcal/mol of atoms
Energy above the lowest structure with this stoichiometry   0 kJ/mol of formula units

(4)
VASP calculation (PBEsol) on a relaxed As2PbW crystal.

Structure (POSCAR):
```
As2PbW
1.0
3.357 0.024 0.031
-0.034 4.811 0.003
-0.034 -1.234 4.650
Pb As W
1 2 1
Direct
0.500 0.000 0.000 Pb
0.000 0.500 0.000 As
0.000 0.000 0.500 As
0.500 0.500 0.500 W
```

Fermi-level density of states   3.226 states/eV/cell
Energy of formation from the pure elements   0.780 eV/atom

(5)
VASP calculation (PBEsol) on a relaxed YAgS2 crystal.

Structure (POSCAR):
```
YAgS2
1.0
4.687 0.000 0.000
2.344 4.059 0.000
2.344 1.353 3.827
Y S Ag
1 2 1
Direct
0.000 0.000 0.000 Y
0.250 0.250 0.250 S
0.750 0.750 0.750 S
0.500 0.500 0.500 Ag
```

Energy relative to the elements, uncorrected   -26.55 kcal/mol of atoms

(6)
VASP calculation (PBEsol) on a relaxed LaCoBiSe2 crystal.

Structure (POSCAR):
```
LaCoBiSe2
1.0
4.806 0.000 0.000
0.000 4.806 0.000
0.000 0.000 4.812
Co Bi Se La
1 1 2 1
Direct
0.000 0.000 0.000 Co
0.500 0.500 0.500 Bi
0.000 0.500 0.000 Se
0.500 0.000 0.000 Se
0.000 0.000 0.500 La
```

Fermi-level density of states   3.550 states/eV/cell
Energy relative to the elements, uncorrected   -10.50 kcal/mol of atoms

(7)
VASP calculation (PBEsol) on a relaxed Co2CuTc crystal.

Structure (POSCAR):
```
Co2CuTc
1.0
4.017 0.000 0.000
2.009 3.479 0.000
2.009 1.160 3.280
Co Tc Cu
2 1 1
Direct
0.000 0.000 0.000 Co
0.750 0.750 0.750 Co
0.250 0.250 0.250 Tc
0.500 0.500 0.500 Cu
```

Fermi-level density of states   6.010 states/eV/cell
Energy of formation from the pure elements   0.340 eV/atom
Energy above the lowest structure with this stoichiometry   86 kJ/mol of formula units

(8)
VASP calculation (PBEsol) on a relaxed LiIn crystal.

Structure (POSCAR):
```
LiIn
1.0
-1.414 -3.229 1.320
1.897 -2.238 -3.443
3.561 2.096 3.572
In Li
2 2
Direct
0.120 0.870 0.240 In
0.880 0.130 0.760 In
0.628 0.378 0.256 Li
0.372 0.622 0.744 Li
```

Fermi-level density of states   1.434 states/eV/cell
Energy of formation from the pure elements   -0.256 eV/atom

(9)
VASP calculation (PBEsol) on a relaxed CoTc3S crystal.

Structure (POSCAR):
```
CoTc3S
1.0
-3.987 1.642 -0.503
0.271 -0.654 -4.283
-1.696 -3.965 0.498
S Co Tc
1 1 3
Direct
0.500 0.500 0.500 S
0.000 0.000 0.000 Co
0.000 0.500 0.000 Tc
0.000 0.000 0.500 Tc
0.500 0.000 0.000 Tc
```

Fermi-level density of states   7.365 states/eV/cell
Energy relative to the elements, uncorrected   38.01 kcal/mol of atoms
Energy above the lowest structure with this stoichiometry   430 kJ/mol of formula units

(10)
VASP calculation (PBEsol) on a relaxed AlSi2Ru crystal.

Structure (POSCAR):
```
AlSi2Ru
1.0
2.952 0.000 0.000
0.000 4.383 0.007
0.000 -1.494 4.120
Ru Si Al
1 2 1
Direct
0.500 0.500 0.500 Ru
0.000 0.500 0.000 Si
0.000 0.000 0.500 Si
0.500 0.000 0.000 Al
```

Fermi-level density of states   1.761 states/eV/cell
Energy relative to the elements, uncorrected   -3.94 kcal/mol of atoms

(11)
VASP calculation (PBEsol) on a relaxed HfTiSe4 crystal.

Structure (POSCAR):
```
HfTiSe4
1.0
-0.901 3.213 -1.323
-1.874 -2.699 -5.277
-5.544 -0.610 2.292
Hf Se Ti
1 4 1
Direct
0.500 0.500 0.000 Hf
0.000 0.324 0.263 Se
0.500 0.157 0.744 Se
0.500 0.843 0.256 Se
0.000 0.676 0.737 Se
0.000 0.000 0.000 Ti
```

Fermi-level density of states   1.120 states/eV/cell
Energy relative to the elements, uncorrected   -27.97 kcal/mol of atoms

(12)
VASP calculation (PBEsol) on a relaxed Cd3Au crystal.

Structure (POSCAR):
```
Cd3Au
1.0
-2.778 -6.317 4.196
6.115 4.405 2.906
-5.563 5.093 3.985
Au Cd
6 18
Direct
0.671 0.671 0.248 Au
0.000 0.329 0.248 Au
0.329 0.000 0.248 Au
0.329 0.329 0.748 Au
0.000 0.671 0.748 Au
0.671 0.000 0.748 Au
0.000 0.000 0.661 Cd
0.000 0.000 0.161 Cd
0.667 0.333 0.807 Cd
0.333 0.667 0.307 Cd
0.667 0.333 0.307 Cd
0.333 0.667 0.807 Cd
0.708 0.708 0.920 Cd
0.000 0.292 0.920 Cd
0.292 0.000 0.920 Cd
0.292 0.292 0.420 Cd
0.000 0.708 0.420 Cd
0.708 0.000 0.420 Cd
0.632 0.632 0.578 Cd
0.000 0.368 0.578 Cd
0.368 0.000 0.578 Cd
0.368 0.368 0.078 Cd
0.000 0.632 0.078 Cd
0.632 0.000 0.078 Cd
```

Fermi-level density of states   6.477 states/eV/cell
Energy of formation from the pure elements   -0.137 eV/atom

(13)
VASP calculation (PBEsol) on a relaxed BeAsSe2 crystal.

Structure (POSCAR):
```
BeAsSe2
1.0
-2.945 -0.713 5.401
5.956 -1.046 -0.441
-2.244 5.754 -0.463
Be As Se
2 2 4
Direct
0.750 0.500 0.250 Be
0.500 0.000 0.500 Be
0.250 0.500 0.750 As
0.000 0.000 0.000 As
0.816 0.250 0.875 Se
0.434 0.250 0.375 Se
0.625 0.750 0.184 Se
0.125 0.750 0.566 Se
```

Fermi-level density of states   5.221 states/eV/cell
Energy relative to the elements, uncorrected   -1.77 kcal/mol of atoms
Energy above the lowest structure with this stoichiometry   0 kJ/mol of formula units

(14)
VASP calculation (PBEsol) on a relaxed TlSb2Pb crystal.

Structure (POSCAR):
```
TlSb2Pb
1.0
3.375 0.000 0.000
0.000 5.716 0.036
0.000 -1.928 5.787
Pb Sb Tl
1 2 1
Direct
0.000 0.500 0.500 Pb
0.000 0.000 0.000 Sb
0.500 0.500 0.000 Sb
0.500 0.000 0.500 Tl
```

Fermi-level density of states   2.222 states/eV/cell
Energy relative to the elements, uncorrected   2.40 kcal/mol of atoms

(15)
VASP calculation (PBEsol) on a relaxed LiAs2Cl crystal.

Structure (POSCAR):
```
LiAs2Cl
1.0
-2.536 2.010 -1.378
-4.330 -3.437 -1.531
-4.024 0.755 4.017
As Cl Li
2 1 1
Direct
0.024 0.976 0.976 As
0.712 0.788 0.788 As
0.553 0.447 0.447 Cl
0.211 0.289 0.289 Li
```

Fermi-level density of states   0.437 states/eV/cell
Energy relative to the elements, uncorrected   -9.70 kcal/mol of atoms
Energy above the lowest structure with this stoichiometry   143 kJ/mol of formula units

(16)
VASP calculation (PBEsol) on a relaxed Zr2BiRh2 crystal.

Structure (POSCAR):
```
Zr2BiRh2
1.0
-0.891 -2.050 -2.402
0.265 -5.816 4.865
-7.298 1.127 1.744
Rh Bi Zr
4 2 4
Direct
0.000 0.371 0.871 Rh
0.000 0.871 0.629 Rh
0.000 0.629 0.129 Rh
0.000 0.129 0.371 Rh
0.000 0.000 0.000 Bi
0.000 0.500 0.500 Bi
0.500 0.163 0.663 Zr
0.500 0.663 0.837 Zr
0.500 0.837 0.337 Zr
0.500 0.337 0.163 Zr
```

Fermi-level density of states   4.691 states/eV/cell
Energy of formation from the pure elements   -0.650 eV/atom

(17)
VASP calculation (PBEsol) on a relaxed KCrPb2Au crystal.

Structure (POSCAR):
```
KCrPb2Au
1.0
5.415 0.000 0.000
0.000 5.415 0.000
0.000 0.000 5.714
Pb Cr K Au
2 1 1 1
Direct
0.000 0.500 0.000 Pb
0.500 0.000 0.000 Pb
0.500 0.500 0.500 Cr
0.000 0.000 0.500 K
0.000 0.000 0.000 Au
```

Fermi-level density of states   3.252 states/eV/cell
Energy of formation from the pure elements   0.768 eV/atom

(18)
VASP calculation (PBEsol) on a relaxed Li2MnCrO4 crystal.

Structure (POSCAR):
```
Li2MnCrO4
1.0
2.865 0.000 0.000
0.000 5.123 -0.032
0.000 -1.928 4.820
Cr Mn O Li
1 1 4 2
Direct
0.000 0.500 0.500 Cr
0.500 0.500 0.000 Mn
0.000 0.290 0.755 O
0.000 0.710 0.245 O
0.500 0.256 0.270 O
0.500 0.744 0.730 O
0.000 0.000 0.000 Li
0.500 0.000 0.500 Li
```

Fermi-level density of states   1.173 states/eV/cell
Energy relative to the elements, uncorrected   -43.97 kcal/mol of atoms
Energy above the lowest structure with this stoichiometry   4 kJ/mol of formula units

(19)
VASP calculation (PBEsol) on a relaxed RbBeCl2 crystal.

Structure (POSCAR):
```
RbBeCl2
1.0
-1.229 2.226 -4.778
-5.175 0.844 -1.341
-1.890 6.431 0.417
Be Rb Cl
1 1 2
Direct
0.000 0.000 0.000 Be
0.500 0.500 0.500 Rb
0.894 0.894 0.318 Cl
0.106 0.106 0.682 Cl
```

Fermi-level density of states   1.703 states/eV/cell
Energy relative to the elements, uncorrected   -18.46 kcal/mol of atoms

(20)
VASP calculation (PBEsol) on a relaxed CsSmMo2O8 crystal.

Structure (POSCAR):
```
CsSmMo2O8
1.0
-4.484 2.330 0.526
-2.341 -2.890 -7.154
-3.502 -7.702 4.257
Cs Sm Mo O
2 2 4 16
Direct
0.000 0.250 0.500 Cs
0.000 0.750 0.500 Cs
0.000 0.250 0.000 Sm
0.000 0.750 0.000 Sm
0.479 0.000 0.803 Mo
0.521 0.000 0.197 Mo
0.521 0.500 0.803 Mo
0.479 0.500 0.197 Mo
0.745 0.000 0.935 O
0.255 0.000 0.065 O
0.255 0.500 0.935 O
0.745 0.500 0.065 O
0.735 0.326 0.808 O
0.265 0.674 0.192 O
0.265 0.326 0.192 O
0.265 0.174 0.808 O
0.735 0.674 0.808 O
0.735 0.826 0.192 O
0.735 0.174 0.192 O
0.265 0.826 0.808 O
0.623 0.000 0.639 O
0.377 0.000 0.361 O
0.377 0.500 0.639 O
0.623 0.500 0.361 O
```

Fermi-level density of states   0.000 states/eV/cell
Energy relative to the elements, uncorrected   -56.53 kcal/mol of atoms